Density functional theory data (PBE with a Hubbard U) for a geometry-optimized MnAlMoIrF structure.

Cell: 4.212 2.958 6.264 Å, 90.00 96.07 90.00°
Fractional positions:
1 Mn 0.000 0.000 0.000
2 Al 0.422 0.500 0.761
3 Mo 0.046 0.000 0.414
4 Ir 0.529 0.500 0.164
5 F 0.713 0.000 0.676

## Properties
The space-group type is Pm, No. 6. The calculation puts the spin magnetization at 0.33 μB/atom. As for the volume: 77.6 Å³/f.u. The value obtained for the total energy is -30.32 eV/cell.